Density functional theory data (GGA-PBE) for crystalline TaAlSi2 at its relaxed geometry.

- DOS(E_F): 0.2467 states/eV per atom
- Energy: -6.5289 eV per atom

abc: 3.5789 4.3493 8.0583
angles: 90.00 90.00 90.00
Closest atoms and distances in Å follow each position.
Space group Cmm2 (No. 35)
Unique sites:
Ta1 0.0000 0.0000 0.0000 [2 per cell]  4 Si 2.67-2.94, 2 Al 2.76, 4 Ta 2.82
Al1 0.0000 0.5000 0.2615 [2 per cell]  4 Si 2.68-2.95, 2 Ta 2.76, 4 Al 2.82
Si1 0.0000 0.0000 0.5089 [2 per cell]  8 Si 2.67-2.94, 4 Al 2.68-2.95
Si2 0.0000 0.5000 0.7547 [2 per cell]  4 Ta 2.67-2.94, 8 Si 2.67-2.94